Mg2ZnSe: relaxed, PBE.

Output
The calculation puts the total magnetization at 0.000 μB/cell. The formation energy (no corrections) is -0.29 eV/atom. The space group is Cmcm, No. 63. Its total energy is -2.28 eV per atom.

```
8
Lattice="3.951 -4.628 0.000 3.951 4.628 0.000 0.000 0.000 4.727" Properties=species:S:1:pos:R:3 pbc="T T T"
Mg 5.598 1.110 3.545
Se 3.951 1.552 1.182
Mg 2.304 -1.110 1.182
Se 3.951 -1.552 3.545
Zn 0.000 0.000 0.000
Zn 0.000 0.000 2.364
Mg 2.304 1.110 3.545
Mg 5.598 -1.110 1.182
```